Version one
## MoW2 (PBE-GGA)

Data for crystalline MoW2 at its relaxed geometry.

Results
N(E_F) = 0.425 states/eV/atom
space group = No. 58
total magnetization = 0.00 μB per formula unit

Cell: 2.690 7.937 4.548 Å, 90.00 90.00 90.00°
Positions (direct):
Mo: 0.000 0.000 0.000
Mo: 0.500 0.500 0.500
W: 0.199 0.335 0.000
W: 0.301 0.835 0.500
W: 0.699 0.165 0.500
W: 0.801 0.665 0.000

---

Version two
## MoW2 (PBE-GGA)

Data for crystalline MoW2 at its relaxed geometry.

Results
N(E_F) = 0.739 states/eV/atom
space group = No. 71
total magnetization = 0.00 μB per formula unit

Cell: 2.668 4.608 8.013 Å, 90.00 90.00 90.00°
Positions (direct):
Mo: 0.000 0.000 0.000
Mo: 0.500 0.500 0.500
W: 0.000 0.000 0.332
W: 0.000 0.000 0.668
W: 0.500 0.500 0.168
W: 0.500 0.500 0.832

---

Least stable: version two

---

Version one
## MoW2 (PBE-GGA)

Data for crystalline MoW2 at its relaxed geometry.

Results
N(E_F) = 0.455 states/eV/atom
space group = No. 63
total magnetization = 0.00 μB per formula unit

Cell: 3.185 13.457 4.491 Å, 90.00 90.00 90.00°
Positions (direct):
Mo: 0.000 0.083 0.250
Mo: 0.000 0.917 0.750
Mo: 0.500 0.417 0.750
Mo: 0.500 0.583 0.250
W: 0.000 0.250 0.750
W: 0.000 0.417 0.250
W: 0.000 0.583 0.750
W: 0.000 0.750 0.250
W: 0.500 0.083 0.750
W: 0.500 0.250 0.250
W: 0.500 0.750 0.750
W: 0.500 0.917 0.250

---

Version two
## MoW2 (PBE-GGA)

Data for crystalline MoW2 at its relaxed geometry.

Results
N(E_F) = 0.974 states/eV/atom
space group = No. 140
total magnetization = 0.00 μB per formula unit

Cell: 6.408 6.408 4.945 Å, 90.00 90.00 90.00°
Positions (direct):
Mo: 0.000 0.000 0.250
Mo: 0.000 0.000 0.750
Mo: 0.500 0.500 0.250
Mo: 0.500 0.500 0.750
W: 0.148 0.352 0.000
W: 0.148 0.648 0.500
W: 0.352 0.148 0.500
W: 0.352 0.852 0.000
W: 0.648 0.148 0.000
W: 0.648 0.852 0.500
W: 0.852 0.352 0.500
W: 0.852 0.648 0.000

---

Version three
## MoW2 (PBE-GGA)

Data for crystalline MoW2 at its relaxed geometry.

Results
N(E_F) = 1.122 states/eV/atom
space group = No. 194
total magnetization = 0.00 μB per formula unit

Cell: 5.248 5.248 8.564 Å, 90.00 90.00 120.00°
Positions (direct):
Mo: 0.333 0.667 0.041
Mo: 0.333 0.667 0.459
Mo: 0.667 0.333 0.541
Mo: 0.667 0.333 0.959
W: 0.000 0.000 0.000
W: 0.000 0.000 0.500
W: 0.170 0.339 0.750
W: 0.170 0.830 0.750
W: 0.339 0.170 0.250
W: 0.661 0.830 0.750
W: 0.830 0.170 0.250
W: 0.830 0.661 0.250

---

Version four
## MoW2 (PBE-GGA)

Data for crystalline MoW2 at its relaxed geometry.

Results
N(E_F) = 0.682 states/eV/atom
space group = No. 15
total magnetization = 0.00 μB per formula unit

Cell: 3.770 3.770 14.109 Å, 97.57 97.57 90.04°
Positions (direct):
Mo: 0.042 0.792 0.583
Mo: 0.208 0.958 0.917
Mo: 0.792 0.042 0.083
Mo: 0.958 0.208 0.417
W: 0.125 0.375 0.750
W: 0.292 0.542 0.084
W: 0.375 0.125 0.250
W: 0.458 0.708 0.416
W: 0.542 0.292 0.584
W: 0.625 0.875 0.750
W: 0.708 0.458 0.916
W: 0.875 0.625 0.250

---

Least stable: version two

---

Version one
## Mo2W (PBE-GGA)

Data for crystalline Mo2W at its relaxed geometry.

Results
N(E_F) = 0.435 states/eV/atom
space group = No. 63
total magnetization = 0.00 μB per formula unit

Cell: 3.179 13.408 4.486 Å, 90.00 90.00 90.00°
Positions (direct):
Mo: 0.000 0.083 0.250
Mo: 0.000 0.250 0.750
Mo: 0.000 0.750 0.250
Mo: 0.000 0.917 0.750
Mo: 0.500 0.250 0.250
Mo: 0.500 0.417 0.750
Mo: 0.500 0.583 0.250
Mo: 0.500 0.750 0.750
W: 0.000 0.417 0.250
W: 0.000 0.583 0.750
W: 0.500 0.083 0.750
W: 0.500 0.917 0.250

---

Version two
## Mo2W (PBE-GGA)

Data for crystalline Mo2W at its relaxed geometry.

Results
N(E_F) = 0.754 states/eV/atom
space group = No. 12
total magnetization = 0.00 μB per formula unit

Cell: 10.027 3.175 6.353 Å, 90.00 108.58 90.00°
Positions (direct):
Mo: 0.000 0.000 0.250
Mo: 0.000 0.000 0.750
Mo: 0.167 0.500 0.083
Mo: 0.333 0.000 0.917
Mo: 0.500 0.500 0.250
Mo: 0.500 0.500 0.750
Mo: 0.667 0.000 0.083
Mo: 0.833 0.500 0.917
W: 0.166 0.500 0.584
W: 0.334 0.000 0.416
W: 0.666 0.000 0.584
W: 0.834 0.500 0.416

---

Version three
## Mo2W (PBE-GGA)

Data for crystalline Mo2W at its relaxed geometry.

Results
N(E_F) = 1.226 states/eV/atom
space group = No. 123
total magnetization = 0.00 μB per formula unit

Cell: 4.304 4.304 3.071 Å, 90.00 90.00 90.00°
Positions (direct):
Mo: 0.000 0.500 0.000
Mo: 0.500 0.000 0.000
W: 0.000 0.000 0.500

---

Version four
## Mo2W (PBE-GGA)

Data for crystalline Mo2W at its relaxed geometry.

Results
N(E_F) = 1.394 states/eV/atom
space group = No. 139
total magnetization = 0.00 μB per formula unit

Cell: 4.377 4.377 5.946 Å, 90.00 90.00 90.00°
Positions (direct):
Mo: 0.000 0.500 0.250
Mo: 0.000 0.500 0.750
Mo: 0.500 0.000 0.250
Mo: 0.500 0.000 0.750
W: 0.000 0.000 0.000
W: 0.500 0.500 0.500

---

Least stable: version three

---

Version one
## Mo2W (PBE-GGA)

Data for crystalline Mo2W at its relaxed geometry.

Results
N(E_F) = 0.757 states/eV/atom
space group = No. 139
total magnetization = 0.00 μB per formula unit

Cell: 3.175 3.175 9.508 Å, 90.00 90.00 90.00°
Positions (direct):
Mo: 0.000 0.000 0.167
Mo: 0.000 0.000 0.833
Mo: 0.500 0.500 0.333
Mo: 0.500 0.500 0.667
W: 0.000 0.000 0.500
W: 0.500 0.500 0.000

---

Version two
## Mo2W (PBE-GGA)

Data for crystalline Mo2W at its relaxed geometry.

Results
N(E_F) = 0.759 states/eV/atom
space group = No. 69
total magnetization = 0.00 μB per formula unit

Cell: 3.178 4.477 13.456 Å, 90.00 90.00 90.00°
Positions (direct):
Mo: 0.000 0.000 0.167
Mo: 0.000 0.000 0.833
Mo: 0.000 0.500 0.333
Mo: 0.000 0.500 0.667
Mo: 0.500 0.000 0.333
Mo: 0.500 0.000 0.667
Mo: 0.500 0.500 0.167
Mo: 0.500 0.500 0.833
W: 0.000 0.000 0.500
W: 0.000 0.500 0.000
W: 0.500 0.000 0.000
W: 0.500 0.500 0.500

---

Version three
## Mo2W (PBE-GGA)

Data for crystalline Mo2W at its relaxed geometry.

Results
N(E_F) = 0.888 states/eV/atom
space group = No. 189
total magnetization = 0.00 μB per formula unit

Cell: 6.469 6.469 4.227 Å, 90.00 90.00 120.00°
Positions (direct):
Mo: 0.000 0.245 0.000
Mo: 0.000 0.553 0.500
Mo: 0.245 0.000 0.000
Mo: 0.447 0.447 0.500
Mo: 0.553 0.000 0.500
Mo: 0.755 0.755 0.000
W: 0.000 0.000 0.500
W: 0.333 0.667 0.000
W: 0.667 0.333 0.000

---

Least stable: version three

---

Version one
## Mo2W3 (PBE-GGA)

Data for crystalline Mo2W3 at its relaxed geometry.

Results
N(E_F) = 0.550 states/eV/atom
space group = No. 70
total magnetization = 0.00 μB per formula unit

Cell: 8.079 7.235 5.254 Å, 78.87 61.48 39.65°
Positions (direct):
Mo: 0.075 0.075 0.675
Mo: 0.325 0.325 0.925
Mo: 0.675 0.675 0.075
Mo: 0.925 0.925 0.325
W: 0.125 0.125 0.125
W: 0.275 0.275 0.475
W: 0.475 0.475 0.275
W: 0.525 0.525 0.725
W: 0.725 0.725 0.525
W: 0.875 0.875 0.875

---

Version two
## Mo2W3 (PBE-GGA)

Data for crystalline Mo2W3 at its relaxed geometry.

Results
N(E_F) = 0.737 states/eV/atom
space group = No. 11
total magnetization = 0.00 μB per formula unit

Cell: 7.074 3.070 7.757 Å, 90.00 99.74 90.00°
Positions (direct):
Mo: 0.009 0.250 0.172
Mo: 0.412 0.750 0.753
Mo: 0.588 0.250 0.247
Mo: 0.991 0.750 0.828
W: 0.138 0.250 0.584
W: 0.288 0.250 0.001
W: 0.331 0.750 0.367
W: 0.669 0.250 0.633
W: 0.712 0.750 0.999
W: 0.862 0.750 0.416

---

Version three
## Mo2W3 (PBE-GGA)

Data for crystalline Mo2W3 at its relaxed geometry.

Results
N(E_F) = 0.935 states/eV/atom
space group = No. 164
total magnetization = 0.00 μB per formula unit

Cell: 4.361 4.361 5.415 Å, 90.00 90.00 120.00°
Positions (direct):
Mo: 0.333 0.667 0.331
Mo: 0.667 0.333 0.669
W: 0.000 0.000 0.500
W: 0.333 0.667 0.847
W: 0.667 0.333 0.153

---

Least stable: version three

---

Version one
## Mo7W (PBE-GGA)

Data for crystalline Mo7W at its relaxed geometry.

Results
N(E_F) = 1.363 states/eV/atom
space group = No. 225
total magnetization = 0.00 μB per formula unit

Cell: 5.668 5.668 5.668 Å, 60.00 60.00 60.00°
Positions (direct):
Mo: 0.000 0.000 0.000
Mo: 0.000 0.000 0.500
Mo: 0.000 0.500 0.000
Mo: 0.000 0.500 0.500
Mo: 0.500 0.000 0.000
Mo: 0.500 0.000 0.500
Mo: 0.500 0.500 0.000
W: 0.500 0.500 0.500

---

Version two
## Mo7W (PBE-GGA)

Data for crystalline Mo7W at its relaxed geometry.

Results
N(E_F) = 0.841 states/eV/atom
space group = No. 166
total magnetization = 0.00 μB per formula unit

Cell: 6.338 6.338 6.338 Å, 89.99 89.99 89.99°
Positions (direct):
Mo: 0.125 0.125 0.125
Mo: 0.125 0.125 0.625
Mo: 0.125 0.625 0.125
Mo: 0.125 0.625 0.625
Mo: 0.375 0.375 0.875
Mo: 0.375 0.875 0.375
Mo: 0.375 0.875 0.875
Mo: 0.625 0.125 0.125
Mo: 0.625 0.125 0.625
Mo: 0.625 0.625 0.125
Mo: 0.875 0.375 0.375
Mo: 0.875 0.375 0.875
Mo: 0.875 0.875 0.375
Mo: 0.875 0.875 0.875
W: 0.375 0.375 0.375
W: 0.625 0.625 0.625

---

Least stable: version one